# 1
DFT (GGA-PBE) results for NdSiTc after structural relaxation.

Unit cell a=4.3748 b=4.3748 c=6.6560 alpha=90.00 beta=90.00 gamma=90.00
Space group P4/nmm (No. 129, origin choice 2)
Unique sites:
Nd  0.2500  0.2500  0.1834 (multiplicity 2)
Si  0.2500  0.2500  0.6744 (multiplicity 2)
Tc  0.2500  0.7500  0.5000 (multiplicity 2)

Results
DOS at the Fermi energy ... 2.4 states/eV/f.u.
Calculated density ... 7.048 g/cm³
Energy relative to the lowest polymorph listed for this composition ... 0 meV/atom



# 2
DFT (GGA-PBE) results for ZrCdFe2 after structural relaxation.

Unit cell a=9.0791 b=2.9036 c=5.1771 alpha=90.00 beta=99.40 gamma=90.00
Space group C2/m (No. 12)
Unique sites:
Zr  0.0000  0.0000  0.0000 (multiplicity 2)
Cd  0.0000  0.5000  0.5000 (multiplicity 2)
Fe  0.2469  0.0000  0.7532 (multiplicity 4)

Results
DOS at the Fermi energy ... 4.2 states/eV/f.u.
Calculated density ... 7.777 g/cm³
DFT formation energy ... 1.22 eV/f.u.



# 3
DFT (GGA-PBE) results for Ac2SmMg3 after structural relaxation.

Unit cell a=4.0241 b=4.0241 c=12.1130 alpha=90.00 beta=90.00 gamma=90.00
Space group P4/mmm (No. 123)
Unique sites:
Ac  0.0000  0.0000  0.1756 (multiplicity 2)
Sm  0.0000  0.0000  0.5000 (multiplicity 1)
Mg  0.5000  0.5000  0.0000 (multiplicity 1)
Mg  0.5000  0.5000  0.3538 (multiplicity 2)

Results
DOS at the Fermi energy ... 6.9 states/eV/f.u.
Calculated density ... 5.733 g/cm³
DFT formation energy ... -0.48 eV/f.u.



# 4
DFT (GGA-PBE) results for CaPmGa2Au5 after structural relaxation.

Unit cell a=4.5166 b=4.5166 c=9.0759 alpha=90.00 beta=90.00 gamma=90.00
Space group P4/mmm (No. 123)
Unique sites:
Ca  0.0000  0.0000  0.0000 (multiplicity 1)
Pm  0.0000  0.0000  0.5000 (multiplicity 1)
Ga  0.5000  0.5000  0.3652 (multiplicity 2)
Au  0.0000  0.5000  0.2274 (multiplicity 4)
Au  0.5000  0.5000  0.0000 (multiplicity 1)

Results
DOS at the Fermi energy ... 3.6 states/eV/f.u.
Calculated density ... 11.744 g/cm³
DFT formation energy ... -5.09 eV/f.u.



# 5
DFT (GGA-PBE) results for Er2ThHg after structural relaxation.

Unit cell a=3.5922 b=3.5922 c=31.2496 alpha=90.00 beta=90.00 gamma=120.00
Space group R-3m (No. 166, hexagonal axes)
Unique sites:
Er  0.0000  0.0000  0.2430 (multiplicity 6)
Th  0.0000  0.0000  0.0000 (multiplicity 3)
Hg  0.0000  0.0000  0.5000 (multiplicity 3)

Results
DOS at the Fermi energy ... 4.7 states/eV/f.u.
Calculated density ... 10.943 g/cm³
Energy relative to the lowest polymorph listed for this composition ... 77 meV/atom
DFT formation energy ... -0.70 eV/f.u.



# 6
DFT (GGA-PBE) results for PaZnAg4 after structural relaxation.

Unit cell a=7.8307 b=7.8307 c=7.8307 alpha=90.00 beta=90.00 gamma=90.00
Space group F-43m (No. 216)
Unique sites:
Pa  0.0000  0.0000  0.0000 (multiplicity 4)
Zn  0.2500  0.2500  0.7500 (multiplicity 4)
Ag  0.1245  0.1245  0.3755 (multiplicity 16)

Results
DOS at the Fermi energy ... 7.1 states/eV/f.u.
Calculated density ... 10.069 g/cm³
DFT formation energy ... 1.06 eV/f.u.